# 1
First-principles (GGA-PBE) data for an optimized crystal structure of TlCo3Sn, as listed in the Alexandria database.

Calculated values
DOS at the Fermi energy ... 1.656 states/eV per atom
Symmetry ... Pm-3m
Crystal system ... cubic
Energy above the most stable polymorph in this dataset ... 0 meV/atom
Formation energy from the elements ... 5.93 eV/f.u.

a b c (Å): 4.7964 4.7964 4.7964
angles (deg): 90.00 90.00 90.00
Positions (direct):
1 Tl 0.5000 0.5000 0.5000
2 Co 0.0000 0.5000 0.0000
3 Co 0.0000 0.0000 0.5000
4 Co 0.5000 0.0000 0.0000
5 Sn 0.0000 0.0000 0.0000

---

# 2
First-principles (GGA-PBE) data for an optimized crystal structure of Tm7Sc2In2, as listed in the Alexandria database.

Calculated values
DOS at the Fermi energy ... 1.426 states/eV per atom
Symmetry ... Imm2
Crystal system ... orthorhombic
Formation energy from the elements ... -0.25 eV/f.u.

a b c (Å): 3.5170 10.1684 10.1684
angles (deg): 63.42 80.04 80.04
Positions (direct):
1 Tm 0.8259 0.0255 0.3226
2 Tm 0.8458 0.4751 0.8333
3 Tm 0.5000 0.0336 0.9664
4 Tm 0.6089 0.4811 0.3011
5 Tm 0.3911 0.6989 0.5189
6 Tm 0.1741 0.6774 0.9745
7 Tm 0.1542 0.1667 0.5249
8 Sc 0.7262 0.8620 0.6856
9 Sc 0.2738 0.3144 0.1380
10 In 0.0000 0.7828 0.2172
11 In 0.5000 0.3364 0.6636

---

# 3
First-principles (GGA-PBE) data for an optimized crystal structure of Hg3HF6, as listed in the Alexandria database.

Calculated values
DOS at the Fermi energy ... 0.148 states/eV per atom
Symmetry ... Cmc2_1
Crystal system ... orthorhombic
E_tot ... -2.899 eV/atom

a b c (Å): 5.9531 7.5481 7.5481
angles (deg): 102.61 90.00 90.00
Positions (direct):
1 Hg 0.4986 0.9084 0.6727
2 Hg 0.9986 0.6727 0.9084
3 Hg 0.4434 0.3942 0.6058
4 Hg 0.9434 0.6058 0.3942
5 Hg 0.9986 0.0916 0.3273
6 Hg 0.4986 0.3273 0.0916
7 H 0.8751 0.1049 0.8951
8 H 0.3751 0.8951 0.1049
9 F 0.2059 0.6882 0.6410
10 F 0.7059 0.6410 0.6882
11 F 0.2777 0.4401 0.8936
12 F 0.7777 0.8936 0.4401
13 F 0.9980 0.0423 0.9577
14 F 0.7046 0.1775 0.8225
15 F 0.2046 0.8225 0.1775
16 F 0.4980 0.9577 0.0423
17 F 0.2777 0.1064 0.5599
18 F 0.7777 0.5599 0.1064
19 F 0.2059 0.3590 0.3118
20 F 0.7059 0.3118 0.3590

---

# 4
First-principles (GGA-PBE) data for an optimized crystal structure of FeRh4Br, as listed in the Alexandria database.

Calculated values
DOS at the Fermi energy ... 1.787 states/eV per atom
Symmetry ... F-43m
Crystal system ... cubic
E_tot ... -5.852 eV/atom

a b c (Å): 5.1909 5.1909 5.1909
angles (deg): 60.00 60.00 60.00
Positions (direct):
1 Fe 0.0000 0.0000 0.0000
2 Rh 0.8753 0.3749 0.3749
3 Rh 0.3749 0.3749 0.8753
4 Rh 0.3749 0.8753 0.3749
5 Rh 0.3749 0.3749 0.3749
6 Br 0.7500 0.7500 0.7500